First-principles (GGA-PBE) data for AcPm4Y7 after structural relaxation, as listed in the Alexandria database.

Summary:
ΔH_f (0 K) (eV per atom): 0.2968

abc: 6.103 11.663 6.908
angles: 82.78 63.79 74.83
Atoms (fractional coordinates):
Y1 0.054 0.661 0.230
Y2 0.784 0.921 0.511
Y3 0.216 0.079 0.489
Y4 0.365 0.505 0.765
Pm1 0.631 0.224 0.514
Ac1 0.000 0.000 0.000
Y5 0.500 0.000 0.000
Pm2 0.250 0.320 0.180
Pm3 0.750 0.680 0.820
Pm4 0.369 0.776 0.486
Y6 0.946 0.339 0.770
Y7 0.635 0.495 0.235